Record 1
Tb5DyTl2 | PBE-GGA | relaxed

Calculated values
DFT formation energy: -50 meV/atom
Energy above the lowest structure with this stoichiometry: 0.48 eV per formula unit
Magnetization: 0.00 μB per cell

Cell: 5.4236 5.4236 20.1272 Å, 90.00 90.00 120.00°
Space group P6_3/mmc (No. 194)
Unique sites:
Tb (0.0000, 0.0000, 0.1636) (multiplicity 4)
Tb (0.3333, 0.6667, 0.0615) (multiplicity 4)
Tb (0.3333, 0.6667, 0.2500) (multiplicity 2)
Dy (0.3333, 0.6667, 0.7500) (multiplicity 2)
Tl (0.3333, 0.6667, 0.5954) (multiplicity 4)



Record 2
Tb6DyTl | PBE-GGA | relaxed

Calculated values
DFT formation energy: -78 meV/atom
Magnetization: 0.00 μB per cell

Cell: 4.911 4.911 10.089 Å, 90.00 90.00 90.00°
Space group P4/mmm (No. 123)
Unique sites:
Tb (0.000, 0.000, 0.000) (multiplicity 1)
Tb (0.000, 0.000, 0.500) (multiplicity 1)
Tb (0.000, 0.500, 0.245) (multiplicity 4)
Dy (0.500, 0.500, 0.500) (multiplicity 1)
Tl (0.500, 0.500, 0.000) (multiplicity 1)



Record 3
Tb5Dy6Tl | PBE-GGA | relaxed

Calculated values
DFT formation energy: -29 meV/atom
Magnetization: 0.00 μB per cell

Cell: 4.939 9.961 15.012 Å, 90.00 90.00 90.00°
Space group Immm (No. 71)
Unique sites:
Tb (0.000, 0.000, 0.000) (multiplicity 2)
Tb (0.000, 0.000, 0.332) (multiplicity 4)
Tb (0.000, 0.500, 0.337) (multiplicity 4)
Dy (0.000, 0.245, 0.500) (multiplicity 4)
Dy (0.000, 0.253, 0.166) (multiplicity 8)
Tl (0.000, 0.500, 0.000) (multiplicity 2)



Record 4
TbDyTl4 | PBE-GGA | relaxed

Calculated values
DFT formation energy: 1 meV/atom
Magnetization: 0.00 μB per cell

Cell: 7.101 7.113 7.620 Å, 90.00 90.00 90.00°
Space group Cmmm (No. 65)
Unique sites:
Tb (0.000, 0.000, 0.000) (multiplicity 2)
Dy (0.000, 0.500, 0.500) (multiplicity 2)
Tl (0.250, 0.250, 0.251) (multiplicity 8)



Record 5
Tb7DyTl2 | PBE-GGA | relaxed

Calculated values
DFT formation energy: 362 meV/atom
Magnetization: 0.00 μB per cell

Cell: 9.207 15.684 5.309 Å, 90.00 90.00 90.00°
Space group Cmmm (No. 65)
Unique sites:
Tb (0.000, 0.000, 0.000) (multiplicity 2)
Tb (0.000, 0.276, 0.500) (multiplicity 4)
Tb (0.182, 0.380, 0.000) (multiplicity 8)
Dy (0.000, 0.500, 0.500) (multiplicity 2)
Tl (0.000, 0.194, 0.000) (multiplicity 4)



Record 6
Tb2Dy6Tl | PBE-GGA | relaxed

Calculated values
DFT formation energy: -38 meV/atom
Energy above the lowest structure with this stoichiometry: 0.20 eV per formula unit
Magnetization: 0.00 μB per cell

Cell: 10.622 10.622 4.883 Å, 90.00 90.00 90.00°
Space group P4_2/mnm (No. 136)
Unique sites:
Tb (0.162, 0.162, 0.000) (multiplicity 4)
Dy (0.000, 0.336, 0.500) (multiplicity 8)
Dy (0.162, 0.838, 0.000) (multiplicity 4)
Tl (0.000, 0.000, 0.500) (multiplicity 2)



Question: What is the formula in the fifth record?
Answer: Tb7DyTl2



Question: What is the DFT formation energy in the sixth record?
Answer: -38 meV/atom



Question: Among the records above, which one has the lowest DFT formation energy?
Answer: Tb6DyTl